Density functional theory data (PBE) for an optimized crystal structure of LiCdCuO2.

a b c (Å): 5.879 5.879 4.410
angles (deg): 90.00 90.00 130.24
Fractional positions:
Li: 0.250 0.250 0.000
Li: 0.750 0.750 0.000
Cd: 0.250 0.750 0.759
Cd: 0.750 0.250 0.241
Cu: 0.000 0.000 0.500
Cu: 0.500 0.500 0.500
O: 0.122 0.878 0.207
O: 0.378 0.622 0.207
O: 0.622 0.378 0.793
O: 0.878 0.122 0.793

DOS(E_F) ... 1.25 states/eV per cell
Formation energy from raw total energies ... -841 meV per atom
Calculated total energy ... -4.209 eV/atom


Density functional theory data (PBE) for an optimized crystal structure of Na2AgGe3Au4.

a b c (Å): 4.443 4.443 10.982
angles (deg): 90.00 90.00 90.00
Fractional positions:
Na: 0.000 0.500 0.250
Na: 0.500 0.000 0.750
Ag: 0.000 0.000 0.500
Ge: 0.000 0.500 0.873
Ge: 0.500 0.000 0.127
Ge: 0.500 0.500 0.500
Au: 0.000 0.000 0.000
Au: 0.000 0.500 0.646
Au: 0.500 0.000 0.354
Au: 0.500 0.500 0.000

DOS(E_F) ... 4.30 states/eV per cell
Calculated total energy ... -3.383 eV/atom